## SrReRu (meta-GGA SCAN)

Data for a PBEsol-optimized structure of SrReRu.

Results
DOS at the Fermi energy: 0.56 states/eV/atom
space-group type: F-43m
E_form: 1.204 eV/atom
theoretical density: 9.93 g/cm3
magnetization: 0.00 μB per formula unit

Lattice parameters (Å, degrees): 6.306 6.306 6.306 90.00 90.00 90.00
Sites, in units of the cell vectors:
Sr 0.000 0.000 0.000
Sr 0.000 0.500 0.500
Sr 0.500 0.000 0.500
Sr 0.500 0.500 0.000
Re 0.000 0.000 0.500
Re 0.000 0.500 0.000
Re 0.500 0.000 0.000
Re 0.500 0.500 0.500
Ru 0.250 0.250 0.750
Ru 0.250 0.750 0.250
Ru 0.750 0.250 0.250
Ru 0.750 0.750 0.750